# meta-GGA SCAN Y6RuI10, PBEsol geometry
# VASP energy   -592.432 eV for the cell shown
# Raw formation energy   -1.361 eV per atom
# Symmetry   P-1
data_Y6RuI10
_cell_length_a 7.531
_cell_length_b 9.448
_cell_length_c 9.489
_cell_angle_alpha 107.38
_cell_angle_beta 96.95
_cell_angle_gamma 104.86
_space_group_name_H-M_alt 'P 1'
_space_group_IT_number 1
_space_group_name_Hall 'P 1'
loop_
_atom_site_label
_atom_site_fract_x
_atom_site_fract_y
_atom_site_fract_z
_atom_site_occupancy
I1 0.911 0.626 0.184 1
I2 0.452 0.811 0.094 1
I3 0.786 0.265 0.355 1
I4 0.548 0.189 0.906 1
I5 0.214 0.735 0.645 1
I6 0.733 0.910 0.534 1
I7 0.267 0.090 0.466 1
I8 0.641 0.540 0.724 1
I9 0.359 0.460 0.276 1
I10 0.089 0.374 0.816 1
Y1 0.030 0.714 0.916 1
Y2 0.644 0.872 0.832 1
Y3 0.970 0.286 0.084 1
Y4 0.114 0.040 0.756 1
Y5 0.356 0.128 0.168 1
Y6 0.886 0.960 0.244 1
Ru1 0.000 0.000 0.000 1

# meta-GGA SCAN ScPtSe3, PBEsol geometry
# VASP energy   -145.744 eV for the cell shown
# Raw formation energy   -0.216 eV per atom
# Symmetry   Pm-3m
data_ScPtSe3
_cell_length_a 4.872
_cell_length_b 4.872
_cell_length_c 4.872
_cell_angle_alpha 90.00
_cell_angle_beta 90.00
_cell_angle_gamma 90.00
_space_group_name_H-M_alt 'P 1'
_space_group_IT_number 1
_space_group_name_Hall 'P 1'
loop_
_atom_site_label
_atom_site_fract_x
_atom_site_fract_y
_atom_site_fract_z
_atom_site_occupancy
Se1 0.500 0.000 0.000 1
Se2 0.000 0.000 0.500 1
Se3 0.000 0.500 0.000 1
Pt1 0.000 0.000 0.000 1
Sc1 0.500 0.500 0.500 1

# meta-GGA SCAN Li2CuNi, PBEsol geometry
# VASP energy   -36.007 eV for the cell shown
# Formation energy   36 meV per atom
# Energy above the lowest structure with this stoichiometry   28 meV/atom
# Symmetry   F-43m
data_Li2CuNi
_cell_length_a 4.023
_cell_length_b 4.023
_cell_length_c 4.023
_cell_angle_alpha 60.00
_cell_angle_beta 60.00
_cell_angle_gamma 60.00
_space_group_name_H-M_alt 'P 1'
_space_group_IT_number 1
_space_group_name_Hall 'P 1'
loop_
_atom_site_label
_atom_site_fract_x
_atom_site_fract_y
_atom_site_fract_z
_atom_site_occupancy
Ni1 0.250 0.250 0.250 1
Cu1 0.500 0.500 0.500 1
Li1 0.750 0.750 0.750 1
Li2 0.000 0.000 0.000 1

# meta-GGA SCAN TaTlO3, PBEsol geometry
# VASP energy   -679.142 eV for the cell shown
# Raw formation energy   -2.430 eV per atom
# Symmetry   Fd-3m
data_TaTlO3
_cell_length_a 7.524
_cell_length_b 7.524
_cell_length_c 7.524
_cell_angle_alpha 60.00
_cell_angle_beta 60.00
_cell_angle_gamma 60.00
_space_group_name_H-M_alt 'P 1'
_space_group_IT_number 1
_space_group_name_Hall 'P 1'
loop_
_atom_site_label
_atom_site_fract_x
_atom_site_fract_y
_atom_site_fract_z
_atom_site_occupancy
O1 0.936 0.564 0.564 1
O2 0.314 0.686 0.314 1
O3 0.564 0.936 0.936 1
O4 0.936 0.564 0.936 1
O5 0.686 0.314 0.686 1
O6 0.686 0.314 0.314 1
O7 0.564 0.936 0.564 1
O8 0.936 0.936 0.564 1
O9 0.686 0.686 0.314 1
O10 0.564 0.564 0.936 1
O11 0.314 0.686 0.686 1
O12 0.314 0.314 0.686 1
Ta1 0.625 0.625 0.625 1
Ta2 0.625 0.125 0.625 1
Ta3 0.125 0.625 0.625 1
Ta4 0.625 0.625 0.125 1
Tl1 0.125 0.125 0.625 1
Tl2 0.125 0.125 0.125 1
Tl3 0.625 0.125 0.125 1
Tl4 0.125 0.625 0.125 1

# meta-GGA SCAN DyFe2B2, PBEsol geometry
# VASP energy   -100.905 eV for the cell shown
# Formation energy   -398 meV per atom
# Symmetry   I4/mmm
data_DyFe2B2
_cell_length_a 3.555
_cell_length_b 3.555
_cell_length_c 5.262
_cell_angle_alpha 109.74
_cell_angle_beta 109.74
_cell_angle_gamma 90.00
_space_group_name_H-M_alt 'P 1'
_space_group_IT_number 1
_space_group_name_Hall 'P 1'
loop_
_atom_site_label
_atom_site_fract_x
_atom_site_fract_y
_atom_site_fract_z
_atom_site_occupancy
B1 0.346 0.346 0.691 1
B2 0.654 0.654 0.309 1
Fe1 0.250 0.750 0.500 1
Fe2 0.750 0.250 0.500 1
Dy1 0.000 0.000 0.000 1

# meta-GGA SCAN PPt2Se, PBEsol geometry
# VASP energy   -171.718 eV for the cell shown
# Raw formation energy   -0.214 eV per atom
# Energy above the lowest structure with this stoichiometry   0 meV/atom
# Symmetry   R-3m
data_PPt2Se
_cell_length_a 3.649
_cell_length_b 3.649
_cell_length_c 6.074
_cell_angle_alpha 72.52
_cell_angle_beta 72.52
_cell_angle_gamma 60.00
_space_group_name_H-M_alt 'P 1'
_space_group_IT_number 1
_space_group_name_Hall 'P 1'
loop_
_atom_site_label
_atom_site_fract_x
_atom_site_fract_y
_atom_site_fract_z
_atom_site_occupancy
P1 0.500 0.500 0.500 1
Pt1 0.766 0.766 0.703 1
Pt2 0.234 0.234 0.297 1
Se1 0.000 0.000 0.000 1

# meta-GGA SCAN BaS2N, PBEsol geometry
# VASP energy   -137.490 eV for the cell shown
# Raw formation energy   -0.162 eV per atom
# Symmetry   Fd-3m
data_BaS2N
_cell_length_a 6.142
_cell_length_b 6.142
_cell_length_c 6.142
_cell_angle_alpha 60.00
_cell_angle_beta 60.00
_cell_angle_gamma 60.00
_space_group_name_H-M_alt 'P 1'
_space_group_IT_number 1
_space_group_name_Hall 'P 1'
loop_
_atom_site_label
_atom_site_fract_x
_atom_site_fract_y
_atom_site_fract_z
_atom_site_occupancy
S1 0.125 0.625 0.125 1
S2 0.625 0.125 0.125 1
S3 0.125 0.125 0.125 1
S4 0.125 0.125 0.625 1
N1 0.250 0.250 0.250 1
N2 0.000 0.000 0.000 1
Ba1 0.500 0.500 0.500 1
Ba2 0.750 0.750 0.750 1

# meta-GGA SCAN ReWCl2, PBEsol geometry
# VASP energy   -152.284 eV for the cell shown
# Raw formation energy   1.114 eV per atom
# Energy above the lowest structure with this stoichiometry   1339 meV/atom
# Symmetry   Pmmm
data_ReWCl2
_cell_length_a 2.763
_cell_length_b 4.387
_cell_length_c 5.118
_cell_angle_alpha 90.00
_cell_angle_beta 90.00
_cell_angle_gamma 90.00
_space_group_name_H-M_alt 'P 1'
_space_group_IT_number 1
_space_group_name_Hall 'P 1'
loop_
_atom_site_label
_atom_site_fract_x
_atom_site_fract_y
_atom_site_fract_z
_atom_site_occupancy
Re1 0.500 0.500 0.000 1
Cl1 0.500 0.000 0.500 1
Cl2 0.000 0.000 0.000 1
W1 0.000 0.500 0.500 1

It is found that the size of the total moment values, taken in the order of the records, are 2.0; 0.0; 0.0; 0.0; 1.9; 0.0; 2.0; 0.0 μB per cell.